Record 1
Ga2Ag9Sn (PBE, relaxed); symmetry = P4/mmm
1.0
4.303 0.000 0.000
0.000 4.303 0.000
0.000 0.000 11.796
Ga Ag Sn
2 9 1
Direct
0.000 0.000 0.163
0.000 0.000 0.837
0.000 0.500 0.000
0.000 0.500 0.322
0.000 0.500 0.678
0.500 0.000 0.000
0.500 0.000 0.322
0.500 0.000 0.678
0.500 0.500 0.160
0.500 0.500 0.500
0.500 0.500 0.840
0.000 0.000 0.500



Record 2
AlGeAu (PBE, relaxed); symmetry = Cm
1.0
8.111 -2.200 0.000
8.111 2.200 0.000
-0.002 0.000 3.091
Al Ge Au
2 2 2
Direct
0.000 0.000 0.000
0.678 0.678 0.000
0.365 0.365 0.498
0.835 0.835 0.998
0.152 0.152 0.500
0.529 0.529 0.500



Record 3
Ba2TeIr (PBE, relaxed); symmetry = Imm2
1.0
-2.027 2.585 6.284
2.027 -2.585 6.284
2.027 2.585 -6.284
Ba Te Ir
2 1 1
Direct
0.000 0.000 0.000
0.712 0.212 0.500
0.315 0.815 0.500
0.456 0.456 0.000



Number 1: raw total energy -2.957 eV/atom. Number 2: raw total energy -3.944 eV/atom. Number 3: raw total energy -4.432 eV/atom.